A:
## Hf2Ti2Sn (PBE)

Data for a relaxed structure of Hf2Ti2Sn.

Properties
For the volume, the calculation gives 20.683 A^3/atom. For the density of states at the Fermi level, the calculation gives 0.724 states/eV per atom.

abc: 4.5976 6.0401 7.4479
angles: 90.00 90.00 90.00
Closest atoms and distances in Å follow each position.
Element x y z (fractional)
Hf1 0.0000 0.0000 0.1902  1 Hf 2.83, 6 Ti 2.89-2.99
Hf2 0.0000 0.0000 0.8098  1 Hf 2.83, 6 Ti 2.89-2.99
Hf3 0.5000 0.5000 0.3098  1 Hf 2.83, 6 Ti 2.89-2.99
Hf4 0.5000 0.5000 0.6902  1 Hf 2.83, 6 Ti 2.89-2.99
Ti1 0.0000 0.2885 0.5000  1 Ti 2.56
Ti2 0.0000 0.7115 0.5000  1 Ti 2.56
Ti3 0.5000 0.2115 0.0000  1 Ti 2.56
Ti4 0.5000 0.7885 0.0000  1 Ti 2.56
Sn1 0.0000 0.5000 0.0000  4 Ti 2.88
Sn2 0.5000 0.0000 0.5000  4 Ti 2.88

---

B:
## Hf2Ti2Sn (PBE)

Data for a relaxed structure of Hf2Ti2Sn.

Properties
For the volume, the calculation gives 21.522 A^3/atom. For the density of states at the Fermi level, the calculation gives 1.302 states/eV per atom.

abc: 8.4047 5.6679 4.9658
angles: 90.00 114.52 90.00
Closest atoms and distances in Å follow each position.
Element x y z (fractional)
Hf1 0.1093 0.0000 0.3523  1 Hf 2.79, 2 Ti 2.86, 1 Sn 3.05
Hf2 0.3907 0.5000 0.6477  1 Hf 2.79, 2 Ti 2.86, 1 Sn 3.05
Hf3 0.6093 0.5000 0.3523  1 Hf 2.79, 2 Ti 2.86, 1 Sn 3.05
Hf4 0.8907 0.0000 0.6477  1 Hf 2.79, 2 Ti 2.86, 1 Sn 3.05
Ti1 0.2500 0.2500 0.0000  2 Ti 2.83, 4 Hf 2.86-3.13, 2 Sn 2.87
Ti2 0.2500 0.7500 0.0000  2 Ti 2.83, 4 Hf 2.86-3.13, 2 Sn 2.87
Ti3 0.7500 0.2500 0.0000  2 Ti 2.83, 4 Hf 2.86-3.13, 2 Sn 2.87
Ti4 0.7500 0.7500 0.0000  2 Ti 2.83, 4 Hf 2.86-3.13, 2 Sn 2.87
Sn1 0.0000 0.5000 0.5000  4 Ti 2.87, 6 Hf 3.05-3.16
Sn2 0.5000 0.0000 0.5000  4 Ti 2.87, 6 Hf 3.05-3.16

---

C:
## Hf2Ti2Sn (PBE)

Data for a relaxed structure of Hf2Ti2Sn.

Properties
For the volume, the calculation gives 20.340 A^3/atom. For the density of states at the Fermi level, the calculation gives 0.893 states/eV per atom.

abc: 7.1753 7.1753 3.9506
angles: 90.00 90.00 90.00
Closest atoms and distances in Å follow each position.
Element x y z (fractional)
Hf1 0.1650 0.3350 0.0000  6 Ti 2.86-2.91
Hf2 0.3350 0.8350 0.0000  6 Ti 2.86-2.91
Hf3 0.6650 0.1650 0.0000  6 Ti 2.86-2.91
Hf4 0.8350 0.6650 0.0000  6 Ti 2.86-2.91
Ti1 0.1311 0.6311 0.5000  1 Ti 2.66, 2 Sn 2.81, 6 Hf 2.86-2.91
Ti2 0.3689 0.1311 0.5000  1 Ti 2.66, 2 Sn 2.81, 6 Hf 2.86-2.91
Ti3 0.6311 0.8689 0.5000  1 Ti 2.66, 2 Sn 2.81, 6 Hf 2.86-2.91
Ti4 0.8689 0.3689 0.5000  1 Ti 2.66, 2 Sn 2.81, 6 Hf 2.86-2.91
Sn1 0.0000 0.0000 0.5000  4 Ti 2.81
Sn2 0.5000 0.5000 0.5000  4 Ti 2.81

---

Energies in eV/atom, measured from the most stable structure: A 0.160; B 0.238; C 0.000.